An optimized crystal structure of MnCdW2F, computed with PBE with a Hubbard U.

Values from the calculation:
Calculated total energy: -3.044 eV/atom
Space group: No. 123
N(E_F): 0.32 states/eV per atom
Spin magnetization: 10.2 μB per cell

Cell lengths 5.4957, 4.3476, 5.4957 Å; angles 90.00, 90.00, 90.00 degrees
Positions (direct):
F  0.0000  0.5000  0.0000
Mn  0.5000  0.5000  0.5000
W  0.0000  0.0000  0.5000
W  0.5000  0.0000  0.0000
Cd  0.0000  0.0000  0.0000